Below is a relaxed structure of TcNi2SbMo, with properties calculated at the PBE level.

As for the theoretical density: 7.09 Mg/m³. The total energy is -28.879 eV for the cell shown. The value obtained for the formation energy without anion corrections is 1601 meV per atom.

The space group is P4/mmm (No. 123) and the conventional cell measures 4.5060, 4.5060 and 4.9975 Å, with angles of 90.00, 90.00 and 90.00 degrees. Symmetry generates all atoms from Tc at (0.0000, 0.0000, 0.0000), Ni at (0.0000, 0.5000, 0.5000), Sb at (0.5000, 0.5000, 0.5000) and Mo at (0.5000, 0.5000, 0.0000).

Below is a relaxed structure of NiSb2TeMo, with properties calculated at the PBE level.

As for the theoretical density: 6.18 Mg/m³. The total energy is -23.261 eV for the cell shown. The value obtained for the formation energy without anion corrections is 948 meV per atom.

The space group is P4/mmm (No. 123) and the conventional cell measures 5.2175, 5.2175 and 5.1898 Å, with angles of 90.00, 90.00 and 90.00 degrees. Symmetry generates all atoms from Ni at (0.0000, 0.0000, 0.0000), Sb at (0.0000, 0.5000, 0.5000), Te at (0.5000, 0.5000, 0.0000) and Mo at (0.5000, 0.5000, 0.5000).

Below is a relaxed structure of NiSb2TeMo, with properties calculated at the PBE level.

As for the theoretical density: 7.10 Mg/m³. The total energy is -23.904 eV for the cell shown. The value obtained for the formation energy without anion corrections is 819 meV per atom.

The space group is P4/mmm (No. 123) and the conventional cell measures 4.8739, 4.8739 and 5.1756 Å, with angles of 90.00, 90.00 and 90.00 degrees. Symmetry generates all atoms from Ni at (0.0000, 0.0000, 0.0000), Sb at (0.0000, 0.5000, 0.0000), Te at (0.0000, 0.0000, 0.5000) and Mo at (0.5000, 0.5000, 0.5000).